Tb3Dy3Tl2 after structural relaxation, computed with PBE-GGA.

Cell lengths 5.1922, 6.5273, 15.7825 Å; angles 90.00, 90.00, 113.44 degrees
Closest atoms and distances in Å follow each position.
Element x y z (fractional)
Dy  0.3621  0.7242  0.5319  3 Tl 3.13-3.26, 1 Dy 3.45
Dy  0.4542  0.9083  0.2500  2 Tl 3.27, 5 Tb 3.38-3.46
Dy  0.6379  0.2758  0.4681  3 Tl 3.13-3.26, 1 Dy 3.45
Dy  0.5458  0.0917  0.7500  2 Tl 3.27, 5 Tb 3.38-3.46
Dy  0.6379  0.2758  0.0319  3 Tl 3.13-3.26, 1 Dy 3.45
Dy  0.3621  0.7242  0.9681  3 Tl 3.13-3.26, 1 Dy 3.45
Tl  0.2258  0.4516  0.3630  4 Dy 3.13-3.27, 3 Tb 3.15-3.22
Tl  0.7742  0.5484  0.6370  4 Dy 3.13-3.27, 3 Tb 3.15-3.22
Tl  0.7742  0.5484  0.8630  4 Dy 3.13-3.27, 3 Tb 3.15-3.22
Tl  0.2258  0.4516  0.1370  4 Dy 3.13-3.27, 3 Tb 3.15-3.22
Tb  0.7365  0.4730  0.2500  4 Tl 3.15, 1 Dy 3.38, 2 Tb 3.52
Tb  0.9603  0.9205  0.3950  1 Tl 3.22, 2 Tb 3.45-3.52, 6 Dy 3.46-3.58
Tb  0.0397  0.0795  0.8950  1 Tl 3.22, 2 Tb 3.45-3.52, 6 Dy 3.46-3.58
Tb  0.2635  0.5270  0.7500  4 Tl 3.15, 1 Dy 3.38, 2 Tb 3.52
Tb  0.9603  0.9205  0.1050  1 Tl 3.22, 2 Tb 3.45-3.52, 6 Dy 3.46-3.58
Tb  0.0397  0.0795  0.6050  1 Tl 3.22, 2 Tb 3.45-3.52, 6 Dy 3.46-3.58

Results
Fermi-level density of states ... 19.63 states/eV/cell
ΔE to the lowest computed polymorph ... 1.95 kcal/mol of atoms
Magnetic moment ... 0.000 μB per atom